No. 1
12
Lattice="-0.714 6.223 0.456 -3.748 0.875 -4.959 -7.140 -1.062 5.048" Properties=species:S:1:pos:R:3 comment="BaLi2HfCl8 PBE optimized geometry" formation_energy_uncorrected_ev_per_fu=-23.417 pbc="T T T"
Cl -8.789 1.175 0.213
Hf 0.000 0.000 0.000
Cl -3.364 5.301 -3.363
Cl -8.237 0.735 3.908
Cl -7.059 4.257 3.307
Cl -4.542 1.779 -2.763
Li -7.149 2.782 1.261
Li -4.453 3.254 -0.716
Ba -3.570 -0.531 2.524
Cl -2.812 4.861 0.332
Cl -6.602 4.278 -0.535
Cl -4.999 1.758 1.079

---

No. 2
5
Lattice="5.697 0.000 0.000 0.000 7.168 0.000 0.000 0.000 5.697" Properties=species:S:1:pos:R:3 comment="BaHfMnCl2 PBE optimized geometry" formation_energy_uncorrected_ev_per_fu=2.272 pbc="T T T"
Mn 0.000 3.584 0.000
Cl 2.848 0.000 0.000
Ba 0.000 0.000 0.000
Hf 2.848 3.584 2.848
Cl 0.000 0.000 2.848

---

No. 3
5
Lattice="5.046 0.000 0.000 0.000 5.046 0.000 0.000 0.000 5.155" Properties=species:S:1:pos:R:3 comment="BaHfP2Cl PBE optimized geometry" formation_energy_uncorrected_ev_per_fu=-5.595 e_above_lowest_polymorph_ev_per_atom=0.000 pbc="T T T"
P 2.523 0.000 0.000
Hf 0.000 0.000 0.000
Cl 0.000 0.000 2.578
Ba 2.523 2.523 2.578
P 0.000 2.523 0.000

---

Number 1: total DFT energy (no corrections) -4.49 eV per atom, N(E_F) 0.00 states/eV/f.u.. Number 2: total DFT energy (no corrections) -4.49 eV per atom, N(E_F) 7.01 states/eV/f.u.. Number 3: total DFT energy (no corrections) -6.03 eV per atom, N(E_F) 2.83 states/eV/f.u..